No. 1
# V6P2N

An optimized crystal structure of V6P2N (PBE, the Alexandria database).

a = 6.3040 Å, b = 6.3040 Å, c = 3.0182 Å
α = 90.00°, β = 90.00°, γ = 120.00°
Space group P-62m (No. 189)
Symmetry-distinct sites (fractional):
V 0.0000 0.2388 0.0000 x3
V 0.0000 0.6056 0.5000 x3
P 0.3333 0.6667 0.0000 x2
N 0.0000 0.0000 0.5000 x1

- formation energy from raw total energies (eV/atom) = -0.701
- polymorph energy (0 for the lowest one) (eV/atom) = 0.120
- volume (Å³ per atom) = 11.5

No. 2
# Ba2SmTmS4

An optimized crystal structure of Ba2SmTmS4 (PBE, the Alexandria database).

a = 7.157 Å, b = 4.136 Å, c = 7.522 Å
α = 90.00°, β = 108.50°, γ = 90.00°
Space group P2/m (No. 10)
Symmetry-distinct sites (fractional):
Ba 0.000 0.000 0.000 x1
Ba 0.500 0.500 0.000 x1
Sm 0.000 0.500 0.500 x1
Tm 0.500 0.000 0.500 x1
S 0.246 0.000 0.712 x2
S 0.272 0.500 0.292 x2

- formation energy from raw total energies (eV/atom) = -1.998
- volume (Å³ per atom) = 26.4

No. 3
# Tl2InPt

An optimized crystal structure of Tl2InPt (PBE, the Alexandria database).

a = 3.349 Å, b = 3.510 Å, c = 8.484 Å
α = 90.00°, β = 90.00°, γ = 90.00°
Space group Pmmm (No. 47)
Symmetry-distinct sites (fractional):
Tl 0.000 0.000 0.202 x2
In 0.500 0.500 0.500 x1
Pt 0.500 0.500 0.000 x1

- formation energy from the elements (eV/atom) = 0.044
- polymorph energy (0 for the lowest one) (eV/atom) = 0.155
- volume (Å³ per atom) = 24.9

no.,magnetization (μB/f.u.)
1,0.00
2,0.00
3,0.00